# ReSnBi | OQMD via LeMat-Bulk | PBE | relaxed
# * spin magnetization: 0.00 μB per cell
# * total energy: -6.11 eV/atom
# * energy relative to the lowest polymorph listed for this composition: 0 meV/atom
# * V: 24.20 Å³ per atom
data_ReSnBi
_chemical_formula_sum 'Re1 Sn1 Bi1'
_cell_length_a 4.682
_cell_length_b 4.682
_cell_length_c 4.682
_cell_angle_alpha 60.00
_cell_angle_beta 60.00
_cell_angle_gamma 60.00
_symmetry_space_group_name_H-M 'P 1'
_symmetry_Int_Tables_number 1
_symmetry_space_group_name_Hall 'P 1'
loop_
_atom_site_label
_atom_site_fract_x
_atom_site_fract_y
_atom_site_fract_z
Bi1 0.250 0.250 0.250
Re1 0.000 0.000 0.000
Sn1 0.750 0.750 0.750